Crystalline Np2PaGa9 at its relaxed geometry, computed with GGA-PBE.

Lattice parameters (Å, degrees): 4.277 4.277 12.846 90.00 90.00 90.00
Site moments in Bohr magnetons follow the coordinates.
Fractional positions:
Np 0.000 0.000 0.334  3.68
Np 0.000 0.000 0.666  3.68
Pa 0.000 0.000 0.000  0.45
Ga 0.500 0.500 0.000  0.02
Ga 0.500 0.500 0.334  0.02
Ga 0.500 0.500 0.666  0.02
Ga 0.500 0.000 0.169  0.03
Ga 0.500 0.000 0.500  0.03
Ga 0.500 0.000 0.831  0.03
Ga 0.000 0.500 0.169  0.03
Ga 0.000 0.500 0.500  0.03
Ga 0.000 0.500 0.831  0.03

Summary:
Calculated total energy (eV per atom): -5.481
Total magnetization (Bohr magnetons per cell): 8.674
ΔE_f (eV/atom): -0.263